1.
ScSi2P: relaxed, PBE-GGA.

Lattice parameters (Å, degrees): 5.0100 5.0100 5.0100 141.38 123.12 70.87
Closest atoms and distances in Å follow each position.
Sites, in units of the cell vectors:
Sc (0.0000, 0.0000, 0.0000)  8 Si 2.80-3.00, 4 P 2.80-3.00
Si (0.2767, 0.7767, 0.5000)  2 Si 2.55, 2 Sc 2.80
Si (0.5139, 0.5139, 0.0000)  2 P 2.38, 2 Si 2.55
P (0.7230, 0.2230, 0.5000)  2 Si 2.38

## Properties
* M_tot: 0.000 Bohr magnetons per cell
* space group: No. 44
* calculated total energy: -5.877 eV/atom



2.
ScSi2P: relaxed, PBE-GGA.

Lattice parameters (Å, degrees): 7.4571 7.4571 7.4571 25.77 25.77 25.77
Closest atoms and distances in Å follow each position.
Sites, in units of the cell vectors:
Sc (0.0000, 0.0000, 0.0000)  6 Si 2.85
Si (0.2362, 0.2362, 0.2362)  3 P 2.44
Si (0.7638, 0.7638, 0.7638)  3 P 2.44
P (0.5000, 0.5000, 0.5000)  6 Si 2.44

## Properties
* M_tot: 0.000 Bohr magnetons per cell
* space group: No. 166
* calculated total energy: -5.704 eV/atom



3.
ScSi2P: relaxed, PBE-GGA.

Lattice parameters (Å, degrees): 3.9416 3.5019 5.0792 90.00 105.76 90.00
Closest atoms and distances in Å follow each position.
Sites, in units of the cell vectors:
Sc (0.0000, 0.0000, 0.0000)  2 P 2.54
Si (0.4194, 0.5000, 0.7453)  2 Si 2.49-2.73, 2 P 2.50
Si (0.5806, 0.5000, 0.2547)  2 Si 2.49-2.73, 2 P 2.50
P (0.0000, 0.0000, 0.5000)  4 Si 2.50, 2 Sc 2.54

## Properties
* M_tot: 0.000 Bohr magnetons per cell
* space group: No. 10
* calculated total energy: -5.888 eV/atom



> Look up the calculated total energy of the second one.

-5.704 eV/atom



> What is the calculated total energy in the first record?

-5.877 eV/atom



> M_tot of number 2 (ScSi2P)?

0.000 Bohr magnetons per cell